Below is MnPSeSN after structural relaxation, with properties calculated at the GGA-PBE level.

Unit cell a=3.163 b=6.002 c=6.101 alpha=108.49 beta=90.04 gamma=105.19
Space group P1 (No. 1)
Symmetry-distinct sites (fractional):
Mn: 0.000 0.000 0.000 [1 per cell]
P: 0.272 0.544 0.059 [1 per cell]
Se: 0.550 0.101 0.301 [1 per cell]
S: 0.358 0.715 0.794 [1 per cell]
N: 0.124 0.250 0.916 [1 per cell]

Computed properties:
Relative energy among the computed polymorphs (meV/atom): 120
Energy relative to the elements, uncorrected (meV/atom): 1

***

Below is Cs2YAsBr6 after structural relaxation, with properties calculated at the GGA-PBE level.

Unit cell a=7.784 b=7.784 c=13.422 alpha=90.00 beta=90.00 gamma=90.00
Space group I4/mmm (No. 139)
Symmetry-distinct sites (fractional):
Cs: 0.000 0.500 0.250 [4 per cell]
Y: 0.000 0.000 0.000 [2 per cell]
As: 0.000 0.000 0.500 [2 per cell]
Br: 0.000 0.000 0.208 [4 per cell]
Br: 0.245 0.245 0.500 [8 per cell]

Computed properties:
Energy relative to the elements, uncorrected (meV/atom): -1338

***

Below is K2CdP after structural relaxation, with properties calculated at the GGA-PBE level.

Unit cell a=7.716 b=7.716 c=7.716 alpha=90.00 beta=90.00 gamma=90.00
Space group F-43m (No. 216)
Symmetry-distinct sites (fractional):
K: 0.000 0.000 0.000 [4 per cell]
K: 0.250 0.250 0.250 [4 per cell]
Cd: 0.000 0.000 0.500 [4 per cell]
P: 0.250 0.250 0.750 [4 per cell]

Computed properties:
Relative energy among the computed polymorphs (meV/atom): 185

***

| no. | raw total energy (eV/atom) | magnetic moment (Bohr magnetons per cell) |
| --- | --- | --- |
| 1 | -6.103 | 1.0 |
| 2 | -3.623 | 0.0 |
| 3 | -2.124 | 0.0 |